1.
Pm2SmHoEr5: relaxed, PBE.

Computed properties:
**Volume**: 32.06 Å³ per atom
**DFT total energy**: -4.353 eV/atom
**DOS(E_F)**: 1.148 states/eV/atom
**Total moment**: 0.000 μB/atom
**Energy of formation**: 26 kJ/mol of atoms

abc: 8.665 8.665 15.374
angles: 90.00 90.00 90.00
Space group I4/mcm (No. 140)
Unique sites:
Pm1 0.116 0.384 0.000 (multiplicity 8)
Sm1 0.000 0.000 0.250 (multiplicity 4)
Ho1 0.000 0.500 0.250 (multiplicity 4)
Er1 0.000 0.000 0.000 (multiplicity 4)
Er2 0.210 0.290 0.362 (multiplicity 16)



2.
PmSm6Ho2Er3: relaxed, PBE.

Computed properties:
**Volume**: 32.40 Å³ per atom
**DFT total energy**: -4.644 eV/atom
**DOS(E_F)**: 1.196 states/eV/atom
**Total moment**: 0.000 μB/atom
**Energy of formation**: 1 kJ/mol of atoms

abc: 6.212 10.756 11.819
angles: 90.00 100.05 90.00
Space group C2/m (No. 12)
Unique sites:
Pm1 0.000 0.000 0.000 (multiplicity 2)
Sm1 0.249 0.333 0.748 (multiplicity 8)
Sm2 0.250 0.000 0.748 (multiplicity 4)
Ho1 0.000 0.333 0.000 (multiplicity 4)
Er1 0.000 0.167 0.500 (multiplicity 4)
Er2 0.000 0.500 0.500 (multiplicity 2)



3.
PmSm2Ho6Er: relaxed, PBE.

Computed properties:
**Volume**: 32.21 Å³ per atom
**DFT total energy**: -4.504 eV/atom
**DOS(E_F)**: 1.376 states/eV/atom
**Total moment**: 0.000 μB/atom
**Energy of formation**: 11 kJ/mol of atoms

abc: 9.020 15.009 9.619
angles: 90.00 98.32 90.00
Space group C2/c (No. 15)
Unique sites:
Pm1 0.000 0.020 0.250 (multiplicity 4)
Sm1 0.248 0.052 0.544 (multiplicity 8)
Ho1 0.066 0.190 0.943 (multiplicity 8)
Ho2 0.100 0.393 0.119 (multiplicity 8)
Ho3 0.205 0.224 0.315 (multiplicity 8)
Er1 0.000 0.408 0.750 (multiplicity 4)



4.
Pm6Sm2HoEr3: relaxed, PBE.

Computed properties:
**Volume**: 32.89 Å³ per atom
**DFT total energy**: -4.670 eV/atom
**DOS(E_F)**: 1.208 states/eV/atom
**Total moment**: 0.000 μB/atom
**Energy of formation**: 1 kJ/mol of atoms

abc: 6.247 10.817 11.864
angles: 90.00 100.07 90.00
Space group C2/m (No. 12)
Unique sites:
Pm1 0.249 0.000 0.247 (multiplicity 4)
Pm2 0.249 0.334 0.247 (multiplicity 8)
Sm1 0.000 0.333 0.500 (multiplicity 4)
Ho1 0.000 0.000 0.500 (multiplicity 2)
Er1 0.000 0.166 0.000 (multiplicity 4)
Er2 0.000 0.500 0.000 (multiplicity 2)



5.
Pm2Sm2Ho2Er: relaxed, PBE.

Computed properties:
**Volume**: 32.98 Å³ per atom
**DFT total energy**: -4.534 eV/atom
**DOS(E_F)**: 2.262 states/eV/atom
**Total moment**: 0.000 μB/atom
**Energy of formation**: 13 kJ/mol of atoms

abc: 5.6985 5.6985 24.6288
angles: 90.00 90.00 120.00
Space group R-3m (No. 166, hexagonal axes)
Unique sites:
Pm1 0.0000 0.0000 0.1390 (multiplicity 6)
Sm1 0.0000 0.0000 0.2858 (multiplicity 6)
Ho1 0.0000 0.0000 0.4289 (multiplicity 6)
Er1 0.0000 0.0000 0.0000 (multiplicity 3)



6.
Pm2Sm2HoEr4: relaxed, PBE.

Computed properties:
**Volume**: 32.17 Å³ per atom
**DFT total energy**: -4.639 eV/atom
**DOS(E_F)**: 1.354 states/eV/atom
**Total moment**: 0.000 μB/atom
**Energy of formation**: 0 kJ/mol of atoms

abc: 18.676 3.598 9.571
angles: 90.00 115.78 90.00
Space group C2/m (No. 12)
Unique sites:
Pm1 0.165 0.000 0.002 (multiplicity 4)
Sm1 0.147 0.500 0.663 (multiplicity 4)
Ho1 0.000 0.500 0.000 (multiplicity 2)
Er1 0.019 0.000 0.332 (multiplicity 4)
Er2 0.185 0.500 0.336 (multiplicity 4)



Question: What is the formula in the fourth record?
Answer: Pm6Sm2HoEr3